KInPb | GGA-PBEsol | optimized geometry

Properties
Space group ... P4/nmm, No. 129
DFT total energy ... -2.8963 eV per atom
Calculated formation energy ... -0.191 eV per atom

Cell: 4.8597 4.8597 8.4970 Å, 90.00 90.00 90.00°
Sites, in units of the cell vectors:
Pb1 0.5000 0.0000 0.7232
Pb2 0.0000 0.5000 0.2768
K1 0.0000 0.5000 0.8366
K2 0.5000 0.0000 0.1634
In1 0.0000 0.0000 0.5000
In2 0.5000 0.5000 0.5000